# 1
Compound: ScTa5Os6
Source: Alexandria via LeMat-Bulk
Functional: GGA-PBE
Structure: optimized geometry

Summary:
Energy of formation in eV per atom: -0.323
Final energy in eV/atom: -11.404
Mass density in g/cm³: 17.85

a b c (Å): 4.5150 13.8024 6.2428
angles (deg): 90.00 90.00 90.00
With the nearest neighbours (Å) after each atom.
Space group Cmmm (No. 65)
Unique sites:
Sc: 0.0000 0.0000 0.0000 x2  8 Os 2.71-2.75
Ta: 0.0000 0.0000 0.5000 x2  8 Os 2.71-2.74
Ta: 0.0000 0.3290 0.5000 x4  8 Os 2.75-2.82
Ta: 0.0000 0.3312 0.0000 x4  8 Os 2.75-2.83
Os: 0.0000 0.1604 0.2503 x8  7 Ta 2.71-2.83, 1 Sc 2.71
Os: 0.0000 0.5000 0.2527 x4  6 Ta 2.74-2.82, 2 Sc 2.75



# 2
Compound: Sc2Ta2Os
Source: Alexandria via LeMat-Bulk
Functional: GGA-PBE
Structure: optimized geometry

Summary:
Energy of formation in eV per atom: 0.085
Final energy in eV/atom: -9.434
E above lowest polymorph in meV per atom: 0
Mass density in g/cm³: 10.35

a b c (Å): 6.5698 6.5698 4.7716
angles (deg): 90.00 90.00 90.00
With the nearest neighbours (Å) after each atom.
Space group P4/mbm (No. 127)
Unique sites:
Sc: 0.1649 0.3351 0.0000 x4  6 Ta 2.96-3.15, 1 Sc 3.06
Ta: 0.1464 0.6464 0.5000 x4  2 Os 2.51, 1 Ta 2.72
Os: 0.0000 0.0000 0.5000 x2  4 Ta 2.51



# 3
Compound: Sc2TaOs
Source: Alexandria via LeMat-Bulk
Functional: GGA-PBE
Structure: optimized geometry

Summary:
Energy of formation in eV per atom: 0.103
Final energy in eV/atom: -8.834
E above lowest polymorph in meV per atom: 329
Mass density in g/cm³: 10.40

a b c (Å): 5.4571 9.0677 2.9751
angles (deg): 90.00 90.00 90.00
With the nearest neighbours (Å) after each atom.
Space group Cmmm (No. 65)
Unique sites:
Sc: 0.2500 0.2500 0.0000 x4  4 Sc 2.73-2.98, 4 Ta 3.04, 4 Os 3.04
Ta: 0.0000 0.0000 0.5000 x2  2 Os 2.73, 2 Ta 2.98, 8 Sc 3.04
Os: 0.0000 0.5000 0.5000 x2  2 Ta 2.73, 2 Os 2.98, 8 Sc 3.04